Entry 1:
First-principles (PBE) data for a relaxed structure of Tl2Bi3Pb8, as listed in the Alexandria database.

Lattice parameters (Å, degrees): 16.3719 6.7026 8.8580 90.00 116.34 90.00
Space group C2/m (No. 12)
Asymmetric unit:
Tl (0.0796, 0.0000, 0.4371) (multiplicity 4)
Bi (0.0000, 0.2649, 0.0000) (multiplicity 4)
Bi (0.0000, 0.5000, 0.5000) (multiplicity 2)
Pb (0.1430, 0.2417, 0.8318) (multiplicity 8)
Pb (0.1610, 0.5000, 0.3500) (multiplicity 4)
Pb (0.1969, 0.0000, 0.2239) (multiplicity 4)

Values from the calculation:
Final energy in eV per atom: -3.476
V in A^3/atom: 33.503
ΔH_f (0 K) in kJ/mol of formula units: 82.2



Entry 2:
First-principles (PBE) data for a relaxed structure of PrSmZnSi, as listed in the Alexandria database.

Lattice parameters (Å, degrees): 4.1259 4.3144 11.2443 90.00 90.00 90.00
Space group Amm2 (No. 38)
Asymmetric unit:
Pr (0.0000, 0.0000, 0.0000) (multiplicity 2)
Sm (0.5000, 0.0000, 0.7138) (multiplicity 2)
Zn (0.5000, 0.0000, 0.4185) (multiplicity 2)
Si (0.0000, 0.0000, 0.2835) (multiplicity 2)

Values from the calculation:
Formation energy (no corrections) in eV/atom: -0.52
Energy above the most stable polymorph in this dataset in meV/atom: 0.0
Final energy in eV per atom: -4.568
V in A^3/atom: 25.020



Entry 3:
First-principles (PBE) data for a relaxed structure of CrSeS, as listed in the Alexandria database.

Lattice parameters (Å, degrees): 5.8255 3.4585 12.2181 90.00 90.00 90.00
Space group Pnma (No. 62)
Asymmetric unit:
Cr (0.0895, 0.2500, 0.1004) (multiplicity 4)
Se (0.0172, 0.7500, 0.2439) (multiplicity 4)
S (0.2454, 0.7500, 0.9920) (multiplicity 4)

Values from the calculation:
Formation energy (no corrections) in eV/atom: -0.38
Energy above the most stable polymorph in this dataset in meV/atom: 168.6
Final energy in eV per atom: -6.120
V in A^3/atom: 20.514



Entry 4:
First-principles (PBE) data for a relaxed structure of ErSc2Ag3, as listed in the Alexandria database.

Lattice parameters (Å, degrees): 3.4700 3.4700 10.5949 90.00 90.00 90.00
Space group P4/mmm (No. 123)
Asymmetric unit:
Er (0.0000, 0.0000, 0.0000) (multiplicity 1)
Sc (0.0000, 0.0000, 0.3387) (multiplicity 2)
Ag (0.5000, 0.5000, 0.1819) (multiplicity 2)
Ag (0.5000, 0.5000, 0.5000) (multiplicity 1)

Values from the calculation:
Final energy in eV per atom: -4.588
V in A^3/atom: 21.262
ΔH_f (0 K) in kJ/mol of formula units: -168.8



Entry 5:
First-principles (PBE) data for a relaxed structure of AgTe2Se2, as listed in the Alexandria database.

Lattice parameters (Å, degrees): 5.4394 5.5458 6.0226 89.24 89.84 62.72
Space group P-1 (No. 2)
Asymmetric unit:
Ag (0.0000, 0.0000, 0.0000) (multiplicity 1)
Te (0.2511, 0.2501, 0.7425) (multiplicity 2)
Se (0.2279, 0.2328, 0.2596) (multiplicity 2)

Values from the calculation:
Formation energy (no corrections) in eV/atom: 0.07
Energy above the most stable polymorph in this dataset in meV/atom: 0.0
Final energy in eV per atom: -3.153
V in A^3/atom: 32.293



Entry 6:
First-principles (PBE) data for a relaxed structure of Tb2CePaAs4, as listed in the Alexandria database.

Lattice parameters (Å, degrees): 7.1592 4.1472 7.1872 90.00 109.50 90.00
Space group P2/m (No. 10)
Asymmetric unit:
Tb (0.0000, 0.0000, 0.0000) (multiplicity 1)
Tb (0.0000, 0.5000, 0.5000) (multiplicity 1)
Ce (0.5000, 0.0000, 0.5000) (multiplicity 1)
Pa (0.5000, 0.5000, 0.0000) (multiplicity 1)
As (0.2500, 0.5000, 0.2447) (multiplicity 2)
As (0.2518, 0.0000, 0.7552) (multiplicity 2)

Values from the calculation:
Final energy in eV per atom: -6.800
V in A^3/atom: 25.145
ΔH_f (0 K) in kJ/mol of formula units: -1072.1